# YNi2F2

A relaxed structure of YNi2F2 (GGA+U, the Alexandria database).

a b c (Å): 5.7643 5.7643 4.8389
angles (deg): 90.00 90.00 90.00
Last column: nearest neighbours and their distance in Å.
Fractional coordinates of all 10 atoms:
F (0.8430, 0.6570, 0.0000)  2 Y 2.17, 2 Ni 2.42
F (0.3430, 0.8430, 0.0000)  2 Y 2.17, 2 Ni 2.42
F (0.6570, 0.1570, 0.0000)  2 Y 2.17, 2 Ni 2.42
F (0.1570, 0.3430, 0.0000)  2 Y 2.17, 2 Ni 2.42
Ni (0.3346, 0.8346, 0.5000)  2 F 2.42, 1 Ni 2.70
Ni (0.6654, 0.1654, 0.5000)  2 F 2.42, 1 Ni 2.70
Ni (0.8346, 0.6654, 0.5000)  2 F 2.42, 1 Ni 2.70
Ni (0.1654, 0.3346, 0.5000)  2 F 2.42, 1 Ni 2.70
Y (0.5000, 0.5000, 0.0000)  4 F 2.17
Y (0.0000, 0.0000, 0.0000)  4 F 2.17

Computed properties:
total moment = 4.13 μB per cell
space-group type = P4/mbm, No. 127
energy above the most stable polymorph in this dataset = 0 meV/atom
electronic total energy = -44.71 eV for the cell shown